Material: AgIrOs2
Method: DFT, PBE
State: optimized geometry

Cell: 2.7271 2.7271 8.1546 Å, 90.00 90.00 90.00°
Fractional positions:
Os 0.0000 0.0000 0.5168
Os 0.0000 0.0000 0.9832
Ir 0.5000 0.5000 0.7500
Ag 0.5000 0.5000 0.2500

**ΔH_f (0 K)**: 0.495 eV per atom
**Size of the total moment**: 0.00 μB per formula unit
**Polymorph energy (0 for the lowest one)**: 220 meV/atom
**DFT total energy**: -8.05 eV per atom

Material: La8In2Ni
Method: DFT, PBE
State: optimized geometry

Cell: 5.6283 6.9561 9.8063 Å, 109.39 106.68 90.00°
Fractional positions:
La 0.3534 0.0698 0.7068
La 0.5906 0.4025 0.1813
La 0.6466 0.9302 0.2932
La 0.4094 0.5975 0.8187
In 0.8260 0.3096 0.6521
La 0.2117 0.2475 0.4234
La 0.0031 0.7809 0.0062
La 0.7883 0.7525 0.5766
Ni 0.5000 0.0000 0.0000
La 0.9969 0.2191 0.9938
In 0.1740 0.6904 0.3479

**ΔH_f (0 K)**: -0.257 eV per atom
**Size of the total moment**: 0.00 μB per formula unit
**DFT total energy**: -4.86 eV per atom

Material: RbAs2PO8
Method: DFT, PBE
State: optimized geometry

Cell: 5.1454 5.1454 9.3336 Å, 74.00 74.00 60.00°
Fractional positions:
O 0.1598 0.6111 0.6180
O 0.3889 0.8402 0.3820
P 0.5000 0.5000 0.5000
O 0.6111 0.1598 0.6180
O 0.2890 0.2890 0.1331
O 0.6111 0.6111 0.6180
O 0.7110 0.7110 0.8669
O 0.8402 0.3889 0.3820
As 0.2265 0.2265 0.3205
Rb 0.0000 0.0000 0.0000
As 0.7735 0.7735 0.6795
O 0.3889 0.3889 0.3820

**ΔE_f (raw)**: -1.30 eV per atom
**Size of the total moment**: 0.00 μB per formula unit
**DFT total energy**: -5.91 eV per atom

Material: Ca2HfPaN4
Method: DFT, PBE
State: optimized geometry

Cell: 3.4357 5.8929 5.9764 Å, 108.76 90.00 90.00°
Fractional positions:
Ca 0.5000 0.0000 0.5000
N 0.0000 0.7473 0.2144
Ca 0.0000 0.5000 0.5000
N 0.5000 0.7666 0.7884
Hf 0.0000 0.0000 0.0000
N 0.5000 0.2334 0.2116
N 0.0000 0.2527 0.7856
Pa 0.5000 0.5000 0.0000

**ΔE_f (raw)**: -1.52 eV per atom
**Size of the total moment**: 0.00 μB per formula unit
**DFT total energy**: -8.61 eV per atom

Material: LiSn2Ir2
Method: DFT, PBE
State: optimized geometry

Cell: 7.7536 7.7536 3.0434 Å, 90.00 90.00 90.00°
Fractional positions:
Li 0.0000 0.0000 0.0000
Sn 0.6590 0.8410 0.5000
Ir 0.1388 0.3612 0.0000
Sn 0.1590 0.6590 0.5000
Ir 0.3612 0.8612 0.0000
Li 0.5000 0.5000 0.0000
Ir 0.8612 0.6388 0.0000
Sn 0.8410 0.3410 0.5000
Sn 0.3410 0.1590 0.5000
Ir 0.6388 0.1388 0.0000

**ΔH_f (0 K)**: -0.252 eV per atom
**Size of the total moment**: 0.00 μB per formula unit
**Polymorph energy (0 for the lowest one)**: 0 meV/atom
**DFT total energy**: -5.78 eV per atom

Material: Ta2NiPt
Method: DFT, PBE
State: optimized geometry

Cell: 5.0158 5.0158 5.0158 Å, 134.55 134.55 66.23°
Fractional positions:
Pt 0.7500 0.2500 0.5000
Ta 0.2500 0.7500 0.5000
Ta 0.0000 0.0000 0.0000
Ni 0.5000 0.5000 0.0000

**ΔH_f (0 K)**: -0.257 eV per atom
**Size of the total moment**: 0.00 μB per formula unit
**DFT total energy**: -9.14 eV per atom

Material: TiSiHg3
Method: DFT, PBE
State: optimized geometry

Cell: 5.2758 5.2758 5.2758 Å, 90.00 90.00 90.00°
Fractional positions:
Hg 0.0000 0.0000 0.5000
Hg 0.5000 0.0000 0.0000
Hg 0.0000 0.5000 0.0000
Si 0.5000 0.5000 0.5000
Ti 0.0000 0.0000 0.0000

**ΔE_f (raw)**: 0.94 eV per atom
**Size of the total moment**: 0.97 μB per formula unit
**Polymorph energy (0 for the lowest one)**: 136 meV/atom
**DFT total energy**: -1.90 eV per atom

Material: LaYS3
Method: DFT, PBE
State: optimized geometry

Cell: 5.1260 5.1260 5.1260 Å, 90.00 90.00 90.00°
Fractional positions:
S 0.0000 0.5000 0.0000
La 0.5000 0.5000 0.5000
S 0.5000 0.0000 0.0000
Y 0.0000 0.0000 0.0000
S 0.0000 0.0000 0.5000

**ΔE_f (raw)**: -1.60 eV per atom
**Size of the total moment**: 0.00 μB per formula unit
**DFT total energy**: -6.36 eV per atom

Material: Ba3Y12Th5
Method: DFT, PBE
State: optimized geometry

Cell: 17.0683 17.0683 17.0683 Å, 109.47 109.47 109.47°
Fractional positions:
Th 0.5000 0.5000 0.5000
Th 0.8750 0.6250 0.7500
Y 0.4074 0.3524 0.7726
Y 0.0926 0.3652 0.4450
Y 0.8524 0.7726 0.9074
Y 0.5550 0.4202 0.1476
Y 0.9074 0.2726 0.8524
Ba 0.1250 0.8750 0.7500
Y 0.6476 0.0550 0.4202
Y 0.9450 0.3524 0.0798
Y 0.9202 0.1476 0.0550
Y 0.0550 0.4074 0.6348
Th 0.5000 0.0000 0.5000
Ba 0.3750 0.6250 0.2500
Ba 0.7500 0.8750 0.6250
Ba 0.7500 0.3750 0.1250
Y 0.9450 0.5926 0.3652
Y 0.8524 0.0798 0.4450
Y 0.2726 0.3652 0.4202
Y 0.6476 0.5926 0.7274
Y 0.0926 0.7274 0.1476
Ba 0.8750 0.7500 0.1250
Th 0.3750 0.2500 0.1250
Y 0.2274 0.0798 0.1348
Ba 0.1250 0.2500 0.8750
Y 0.7274 0.0926 0.6476
Th 0.1250 0.3750 0.2500
Y 0.5798 0.4450 0.3524
Th 0.0000 0.0000 0.0000
Y 0.5550 0.1348 0.9074
Y 0.8652 0.4450 0.5926
Y 0.7726 0.8524 0.4074
Y 0.4450 0.5798 0.8524
Th 0.5000 0.5000 0.0000
Y 0.1348 0.5550 0.4074
Th 0.0000 0.0000 0.5000
Y 0.7726 0.9202 0.8652
Th 0.1250 0.7500 0.3750
Y 0.5798 0.1348 0.7274
Ba 0.6250 0.3750 0.7500
Y 0.1348 0.5798 0.2274
Y 0.4202 0.8652 0.2726
Th 0.6250 0.7500 0.8750
Y 0.5926 0.9450 0.8652
Y 0.8652 0.4202 0.7726
Y 0.9074 0.6348 0.5550
Y 0.4450 0.8652 0.0926
Th 0.6250 0.8750 0.2500
Th 0.0000 0.5000 0.5000
Y 0.6348 0.9074 0.0550
Th 0.2500 0.3750 0.6250
Y 0.4202 0.5550 0.6476
Ba 0.8750 0.1250 0.2500
Y 0.4074 0.0550 0.1348
Y 0.1476 0.2274 0.0926
Th 0.0000 0.5000 0.0000
Y 0.9202 0.7726 0.3652
Y 0.3524 0.9450 0.5798
Th 0.7500 0.6250 0.3750
Ba 0.2500 0.6250 0.8750
Y 0.3652 0.2726 0.9202
Y 0.6348 0.7274 0.0798
Y 0.2274 0.1476 0.5926
Y 0.2726 0.9074 0.3524
Y 0.7274 0.6348 0.5798
Th 0.5000 0.0000 0.0000
Y 0.0798 0.8524 0.9450
Th 0.8750 0.2500 0.6250
Th 0.2500 0.8750 0.1250
Y 0.5926 0.6476 0.2274
Th 0.3750 0.1250 0.7500
Ba 0.6250 0.2500 0.3750
Y 0.0798 0.2274 0.6348
Ba 0.2500 0.1250 0.3750
Ba 0.3750 0.7500 0.6250
Y 0.1476 0.9202 0.5550
Y 0.3652 0.0926 0.9450
Y 0.0550 0.6476 0.9202
Y 0.3524 0.4074 0.2726
Th 0.7500 0.1250 0.8750

**ΔH_f (0 K)**: 0.923 eV per atom
**Size of the total moment**: 0.00 μB per formula unit
**DFT total energy**: -5.10 eV per atom

Material: NdYPt2
Method: DFT, PBE
State: optimized geometry

Cell: 3.5470 3.5470 7.1522 Å, 90.00 90.00 90.00°
Fractional positions:
Nd 0.5000 0.5000 0.5000
Y 0.5000 0.5000 0.0000
Pt 0.0000 0.0000 0.2355
Pt 0.0000 0.0000 0.7645

**ΔH_f (0 K)**: -1.112 eV per atom
**Size of the total moment**: 0.00 μB per formula unit
**Polymorph energy (0 for the lowest one)**: 84 meV/atom
**DFT total energy**: -6.94 eV per atom

Material: PuThTc
Method: DFT, PBE
State: optimized geometry

Cell: 4.2462 5.0236 7.6883 Å, 109.07 106.03 90.00°
Fractional positions:
Tc 0.5000 0.1644 0.0000
Tc 0.0000 0.6644 0.0000
Pu 0.8781 0.0425 0.7562
Pu 0.1219 0.2864 0.2438
Th 0.3558 0.5203 0.7117
Th 0.6442 0.8086 0.2883

**ΔH_f (0 K)**: 0.114 eV per atom
**Size of the total moment**: 5.38 μB per formula unit
**Polymorph energy (0 for the lowest one)**: 99 meV/atom
**DFT total energy**: -10.59 eV per atom